Entry 1:
Rb5H2Se4 | PBE | optimized geometry

Computed properties:
**Crystal system**: triclinic

Unit cell a=6.2345 b=8.5202 c=8.9892 alpha=80.56 beta=75.21 gamma=83.11
Element x y z (fractional)
1 Rb 0.0000 0.0000 0.0000
2 Rb 0.2786 0.4913 0.2360
3 Rb 0.3391 0.9515 0.3382
4 Rb 0.6609 0.0485 0.6618
5 Rb 0.7214 0.5087 0.7640
6 H 0.2405 0.2549 0.7377
7 H 0.7595 0.7451 0.2623
8 Se 0.1604 0.2374 0.5972
9 Se 0.4510 0.1976 0.0010
10 Se 0.5490 0.8024 0.9990
11 Se 0.8396 0.7626 0.4028

=====

Entry 2:
La3Nd2SmP6 | PBE | optimized geometry

Computed properties:
**Crystal system**: monoclinic
**Formation energy from the elements**: -1.560 eV per atom

Unit cell a=7.2937 b=7.2937 c=7.2981 alpha=99.58 beta=99.58 gamma=120.00
Element x y z (fractional)
1 La 0.0000 0.0000 0.0000
2 La 0.3330 0.6670 0.0000
3 La 0.6670 0.3330 0.0000
4 Nd 0.1665 0.8335 0.5000
5 Nd 0.8335 0.1665 0.5000
6 Sm 0.5000 0.5000 0.5000
7 P 0.0872 0.4186 0.2556
8 P 0.2503 0.2503 0.7448
9 P 0.4186 0.0872 0.2556
10 P 0.5814 0.9128 0.7444
11 P 0.7497 0.7497 0.2552
12 P 0.9128 0.5814 0.7444

=====

Entry 3:
Pt2AuBr | PBE | optimized geometry

Computed properties:
**Crystal system**: orthorhombic
**Formation energy (no corrections)**: 9.14 kcal/mol of atoms
**Energy above the most stable polymorph in this dataset**: 137.5 meV per atom

Unit cell a=2.9844 b=2.9844 c=9.7485 alpha=90.00 beta=90.00 gamma=121.77
Element x y z (fractional)
1 Pt 0.0000 0.0000 0.0000
2 Pt 0.5000 0.5000 0.2296
3 Au 0.0000 0.0000 0.4749
4 Br 0.5000 0.5000 0.7672

=====

Entry 4:
AsH2Pd2 | PBE | optimized geometry

Computed properties:
**Crystal system**: tetragonal
**Energy above the most stable polymorph in this dataset**: 0.0 meV per atom

Unit cell a=6.0213 b=6.0213 c=6.0213 alpha=149.70 beta=149.70 gamma=43.38
Element x y z (fractional)
1 As 0.0000 0.0000 0.0000
2 H 0.2500 0.7500 0.5000
3 H 0.7500 0.2500 0.5000
4 Pd 0.3453 0.3453 0.0000
5 Pd 0.6547 0.6547 0.0000

=====

Entry 5:
LaPmHo2 | PBE | optimized geometry

Computed properties:
**Crystal system**: orthorhombic
**Energy above the most stable polymorph in this dataset**: 11.3 meV per atom
**Formation energy from the elements**: 0.026 eV per atom

Unit cell a=10.2228 b=5.1254 c=10.1735 alpha=90.00 beta=90.00 gamma=90.00
Element x y z (fractional)
1 La 0.1271 0.2500 0.0005
2 La 0.3729 0.7500 0.5005
3 La 0.6271 0.2500 0.4995
4 La 0.8729 0.7500 0.9995
5 Pm 0.1249 0.7500 0.2533
6 Pm 0.3751 0.2500 0.7533
7 Pm 0.6249 0.7500 0.2467
8 Pm 0.8751 0.2500 0.7467
9 Ho 0.1216 0.2500 0.5007
10 Ho 0.1250 0.7500 0.7478
11 Ho 0.3750 0.2500 0.2478
12 Ho 0.3784 0.7500 0.0007
13 Ho 0.6216 0.2500 0.9993
14 Ho 0.6250 0.7500 0.7522
15 Ho 0.8750 0.2500 0.2522
16 Ho 0.8784 0.7500 0.4993

=====

Entry 6:
Nb3V2Mo2 | PBE | optimized geometry

Computed properties:
**Crystal system**: orthorhombic
**Formation energy from the elements**: 0.119 eV per atom

Unit cell a=11.1472 b=11.1472 c=3.1804 alpha=90.00 beta=90.00 gamma=162.98
Element x y z (fractional)
1 Nb 0.0000 0.0000 0.0000
2 Nb 0.4233 0.5767 0.5000
3 Nb 0.5767 0.4233 0.5000
4 V 0.2900 0.7100 0.5000
5 V 0.7100 0.2900 0.5000
6 Mo 0.1523 0.8477 0.0000
7 Mo 0.8477 0.1523 0.0000

=====

Entry 7:
KSm2IrO8 | PBE | optimized geometry

Computed properties:
**Crystal system**: triclinic
**Formation energy (no corrections)**: -41.47 kcal/mol of atoms

Unit cell a=4.2059 b=5.3035 c=7.2913 alpha=89.93 beta=74.49 gamma=89.62
Element x y z (fractional)
1 K 0.0000 0.0000 0.0000
2 Sm 0.3772 0.5097 0.2885
3 Sm 0.6228 0.4903 0.7115
4 Ir 0.0000 0.0000 0.5000
5 O 0.1745 0.4964 0.0028
6 O 0.1847 0.3048 0.5915
7 O 0.2020 0.7691 0.6304
8 O 0.3544 0.9711 0.2710
9 O 0.6456 0.0289 0.7290
10 O 0.7980 0.2309 0.3696
11 O 0.8153 0.6952 0.4085
12 O 0.8255 0.5036 0.9972

=====

Entry 8:
BaNa2TiI | PBE | optimized geometry

Computed properties:
**Crystal system**: tetragonal
**Formation energy (no corrections)**: 9.30 kcal/mol of atoms

Unit cell a=5.9892 b=5.9892 c=6.5615 alpha=90.00 beta=90.00 gamma=90.00
Element x y z (fractional)
1 Ba 0.0000 0.0000 0.0000
2 Na 0.0000 0.5000 0.5000
3 Na 0.5000 0.0000 0.5000
4 Ti 0.0000 0.0000 0.5000
5 I 0.5000 0.5000 0.0000

=====

Calculated total energy, -33.773; -80.221; -15.447; -22.049; -18.731; -69.279; -80.641; -11.989 eV per formula unit (same order as the records).
Calculated calculated density, 2.7; 5.5; 15.0; 8.7; 7.6; 8.2; 7.0; 2.5 g/cm³ (same order as the records).
Calculated density of states at the Fermi level, 0.03; 0.08; 1.03; 0.35; 1.60; 1.24; 0.44; 0.79 states/eV/atom (same order as the records).